[1]
! SrTc2Sb | Alexandria via LeMat-Bulk | meta-GGA SCAN | PBEsol geometry; values from VASP
! **Energy**: -129.016 eV per cell
! **Formation energy (no corrections)**: 0.640 eV per formula unit
! **Space group**: P4mm, No. 99
&SYSTEM
  ibrav = 0, nat = 4, ntyp = 3
/
ATOMIC_SPECIES
Sr 87.62 Sr.upf
Tc 98.00 Tc.upf
Sb 121.76 Sb.upf
ATOMIC_POSITIONS angstrom
Sr 0.000 0.000 0.000
Tc 0.000 0.000 4.590
Tc 1.565 1.565 5.949
Sb 1.565 1.565 2.791
CELL_PARAMETERS angstrom
3.131 0.000 0.000
0.000 3.131 0.000
0.000 0.000 8.253

---

[2]
! SrTc2Sb | Alexandria via LeMat-Bulk | meta-GGA SCAN | PBEsol geometry; values from VASP
! **Energy**: -127.037 eV per cell
! **Formation energy (no corrections)**: 2.619 eV per formula unit
! **Space group**: I-4m2, No. 119
&SYSTEM
  ibrav = 0, nat = 4, ntyp = 3
/
ATOMIC_SPECIES
Sr 87.62 Sr.upf
Tc 98.00 Tc.upf
Sb 121.76 Sb.upf
ATOMIC_POSITIONS angstrom
Sr 0.000 0.000 0.000
Tc 2.299 0.000 1.801
Tc 0.000 0.000 3.602
Sb 0.000 2.299 1.801
CELL_PARAMETERS angstrom
-2.299 2.299 3.602
2.299 -2.299 3.602
2.299 2.299 -3.602

---

[3]
! SrTcSb | Alexandria via LeMat-Bulk | meta-GGA SCAN | PBEsol geometry; values from VASP
! **Energy**: -93.198 eV per cell
! **Formation energy (no corrections)**: 1.398 eV per formula unit
! **Space group**: F-43m, No. 216
&SYSTEM
  ibrav = 0, nat = 3, ntyp = 3
/
ATOMIC_SPECIES
Sr 87.62 Sr.upf
Tc 98.00 Tc.upf
Sb 121.76 Sb.upf
ATOMIC_POSITIONS angstrom
Sr 0.000 0.000 0.000
Tc 3.392 3.392 3.392
Sb 1.696 1.696 1.696
CELL_PARAMETERS angstrom
0.000 3.392 3.392
3.392 0.000 3.392
3.392 3.392 0.000

---

[4]
! SrSb2Te | Alexandria via LeMat-Bulk | meta-GGA SCAN | PBEsol geometry; values from VASP
! **Energy**: -136.301 eV per cell
! **Formation energy (no corrections)**: -2.254 eV per formula unit
! **Space group**: Imm2, No. 44
&SYSTEM
  ibrav = 0, nat = 4, ntyp = 3
/
ATOMIC_SPECIES
Sr 87.62 Sr.upf
Sb 121.76 Sb.upf
Te 127.60 Te.upf
ATOMIC_POSITIONS angstrom
Sr 0.000 0.000 0.000
Sb 2.080 0.000 2.798
Sb 0.000 0.000 4.904
Te 0.000 2.752 2.220
CELL_PARAMETERS angstrom
-2.080 2.752 5.114
2.080 -2.752 5.114
2.080 2.752 -5.114

---

[5]
! SrSb2Te | Alexandria via LeMat-Bulk | meta-GGA SCAN | PBEsol geometry; values from VASP
! **Energy**: -137.077 eV per cell
! **Formation energy (no corrections)**: -3.030 eV per formula unit
! **Space group**: Pm, No. 6
&SYSTEM
  ibrav = 0, nat = 4, ntyp = 3
/
ATOMIC_SPECIES
Sr 87.62 Sr.upf
Sb 121.76 Sb.upf
Te 127.60 Te.upf
ATOMIC_POSITIONS angstrom
Sr 0.000 0.000 0.000
Sb 1.163 2.212 3.609
Sb 3.948 0.000 3.248
Te 2.313 2.212 0.004
CELL_PARAMETERS angstrom
4.691 0.000 0.000
0.000 4.423 0.000
-0.735 0.000 6.522

---

[6]
! SrSbTe2 | Alexandria via LeMat-Bulk | meta-GGA SCAN | PBEsol geometry; values from VASP
! **Energy**: -136.854 eV per cell
! **Formation energy (no corrections)**: -2.815 eV per formula unit
! **Space group**: Immm, No. 71
&SYSTEM
  ibrav = 0, nat = 4, ntyp = 3
/
ATOMIC_SPECIES
Sr 87.62 Sr.upf
Sb 121.76 Sb.upf
Te 127.60 Te.upf
ATOMIC_POSITIONS angstrom
Sr 0.000 0.000 0.000
Sb 0.000 0.000 4.931
Te 2.182 0.000 2.869
Te 0.000 2.837 2.062
CELL_PARAMETERS angstrom
-2.182 2.837 4.931
2.182 -2.837 4.931
2.182 2.837 -4.931

---

[7]
! SrSb2Te | Alexandria via LeMat-Bulk | meta-GGA SCAN | PBEsol geometry; values from VASP
! **Energy**: -135.616 eV per cell
! **Formation energy (no corrections)**: -1.568 eV per formula unit
! **Space group**: F-43m, No. 216
&SYSTEM
  ibrav = 0, nat = 4, ntyp = 3
/
ATOMIC_SPECIES
Sr 87.62 Sr.upf
Sb 121.76 Sb.upf
Te 127.60 Te.upf
ATOMIC_POSITIONS angstrom
Sr 0.000 0.000 0.000
Sb 1.947 1.947 1.947
Sb 3.895 3.895 3.895
Te 5.842 5.842 5.842
CELL_PARAMETERS angstrom
0.000 3.895 3.895
3.895 0.000 3.895
3.895 3.895 0.000

---

[8]
! SrTi3Sb | Alexandria via LeMat-Bulk | meta-GGA SCAN | PBEsol geometry; values from VASP
! **Energy**: -98.831 eV per cell
! **Formation energy (no corrections)**: 8.794 eV per formula unit
! **Space group**: Pm-3m, No. 221
&SYSTEM
  ibrav = 0, nat = 5, ntyp = 3
/
ATOMIC_SPECIES
Sr 87.62 Sr.upf
Ti 47.87 Ti.upf
Sb 121.76 Sb.upf
ATOMIC_POSITIONS angstrom
Sr 0.000 0.000 0.000
Ti 0.000 0.000 2.351
Ti 0.000 2.351 0.000
Ti 2.351 0.000 0.000
Sb 2.351 2.351 2.351
CELL_PARAMETERS angstrom
4.701 0.000 0.000
0.000 4.701 0.000
0.000 0.000 4.701

---

> Which value of formation energy (no corrections) does entry 1 give?

0.640 eV per formula unit